Entry 1:
The following is a GGA-PBE calculation of a relaxed KMg2Sn2 crystal, from Alexandria.

- final energy (eV per atom) = -2.636
- spin magnetization (μB per formula unit) = 0.00
- energy of formation (eV/atom) = -0.177
- DOS(E_F) (states/eV/atom) = 0.274
- V (A^3/atom) = 26.865

a = 9.138 Å, b = 9.138 Å, c = 3.217 Å
α = 90.00°, β = 90.00°, γ = 90.00°
Fractional positions:
1 K 0.000 0.000 0.000
2 K 0.500 0.500 0.000
3 Mg 0.129 0.371 0.000
4 Mg 0.371 0.871 0.000
5 Mg 0.629 0.129 0.000
6 Mg 0.871 0.629 0.000
7 Sn 0.163 0.663 0.500
8 Sn 0.337 0.163 0.500
9 Sn 0.663 0.837 0.500
10 Sn 0.837 0.337 0.500


Entry 2:
The following is a GGA-PBE calculation of a relaxed Na2InAuI6 crystal, from Alexandria.

- final energy (eV per atom) = -2.467
- spin magnetization (μB per formula unit) = 0.00
- V (A^3/atom) = 39.183

a = 8.586 Å, b = 8.586 Å, c = 8.586 Å
α = 54.65°, β = 54.65°, γ = 54.65°
Fractional positions:
1 Na 0.000 0.000 0.000
2 Na 0.480 0.480 0.480
3 In 0.685 0.685 0.685
4 Au 0.265 0.265 0.265
5 I 0.049 0.428 0.786
6 I 0.299 0.896 0.583
7 I 0.428 0.786 0.049
8 I 0.583 0.299 0.896
9 I 0.786 0.049 0.428
10 I 0.896 0.583 0.299


Entry 3:
The following is a GGA-PBE calculation of a relaxed In2CuHg2 crystal, from Alexandria.

- final energy (eV per atom) = -1.887
- spin magnetization (μB per formula unit) = 0.00
- energy of formation (eV/atom) = 0.148
- DOS(E_F) (states/eV/atom) = 0.517
- V (A^3/atom) = 25.200

a = 7.045 Å, b = 7.045 Å, c = 5.078 Å
α = 90.00°, β = 90.00°, γ = 90.00°
Fractional positions:
1 In 0.164 0.336 0.000
2 In 0.336 0.836 0.000
3 In 0.664 0.164 0.000
4 In 0.836 0.664 0.000
5 Cu 0.000 0.000 0.000
6 Cu 0.500 0.500 0.000
7 Hg 0.163 0.663 0.500
8 Hg 0.337 0.163 0.500
9 Hg 0.663 0.837 0.500
10 Hg 0.837 0.337 0.500


Entry 4:
The following is a GGA-PBE calculation of a relaxed HgMo2 crystal, from Alexandria.

- final energy (eV per atom) = -6.736
- spin magnetization (μB per formula unit) = 0.00
- energy of formation (eV/atom) = 0.585
- DOS(E_F) (states/eV/atom) = 0.957
- V (A^3/atom) = 17.323

a = 8.145 Å, b = 8.145 Å, c = 2.713 Å
α = 90.00°, β = 90.00°, γ = 120.00°
Fractional positions:
1 Hg 0.000 0.000 0.000
2 Hg 0.333 0.667 0.500
3 Hg 0.667 0.333 0.500
4 Mo 0.000 0.315 0.500
5 Mo 0.000 0.649 0.000
6 Mo 0.315 0.000 0.500
7 Mo 0.351 0.351 0.000
8 Mo 0.649 0.000 0.000
9 Mo 0.685 0.685 0.500


Entry 5:
The following is a GGA-PBE calculation of a relaxed KPm2B2S6 crystal, from Alexandria.

- final energy (eV per atom) = -5.682
- spin magnetization (μB per formula unit) = 0.00
- DOS(E_F) (states/eV/atom) = 0.218
- V (A^3/atom) = 26.034

a = 5.922 Å, b = 5.922 Å, c = 8.534 Å
α = 91.59°, β = 91.59°, γ = 106.70°
Fractional positions:
1 K 0.000 0.000 0.000
2 Pm 0.252 0.748 0.500
3 Pm 0.748 0.252 0.500
4 B 0.258 0.258 0.658
5 B 0.742 0.742 0.342
6 S 0.092 0.429 0.757
7 S 0.246 0.246 0.440
8 S 0.429 0.092 0.757
9 S 0.571 0.908 0.243
10 S 0.754 0.754 0.560
11 S 0.908 0.571 0.243


Entry 6:
The following is a GGA-PBE calculation of a relaxed LiYHoHg crystal, from Alexandria.

- final energy (eV per atom) = -3.542
- spin magnetization (μB per formula unit) = 0.00
- energy of formation (eV/atom) = -0.228
- DOS(E_F) (states/eV/atom) = 1.196
- V (A^3/atom) = 25.096

a = 5.217 Å, b = 5.217 Å, c = 5.217 Å
α = 60.00°, β = 60.00°, γ = 60.00°
Fractional positions:
1 Li 0.000 0.000 0.000
2 Y 0.250 0.250 0.250
3 Ho 0.750 0.750 0.750
4 Hg 0.500 0.500 0.500